[1]
Here is a relaxed structure of Mg2SbRu2 from Alexandria via LeMat-Bulk. Energies are from PBE.

Computed properties:
Its magnetization is 0.000 μB/cell. The value obtained for the raw formation energy is -3.23 kcal/mol of atoms.

Cell lengths 6.567, 6.567, 4.315 Å; angles 90.00, 90.00, 90.00 degrees
Space group P4/mbm (No. 127)
Asymmetric unit:
1 Mg 0.161 0.339 0.000 [4 per cell]
2 Sb 0.000 0.000 0.500 [2 per cell]
3 Ru 0.136 0.636 0.500 [4 per cell]

=====

[2]
Here is a relaxed structure of MgSbRu2 from Alexandria via LeMat-Bulk. Energies are from PBE.

Computed properties:
Its magnetization is 0.000 μB/cell. The value obtained for the raw formation energy is 1.74 kcal/mol of atoms. The value obtained for the energy above the lowest structure with this stoichiometry is 299 meV/atom.

Cell lengths 3.884, 3.884, 8.631 Å; angles 90.00, 90.00, 90.00 degrees
Space group I-4m2 (No. 119)
Asymmetric unit:
1 Mg 0.000 0.000 0.000 [2 per cell]
2 Sb 0.000 0.500 0.250 [2 per cell]
3 Ru 0.000 0.000 0.500 [2 per cell]
4 Ru 0.000 0.500 0.750 [2 per cell]

=====

[3]
Here is a relaxed structure of MgSbRu from Alexandria via LeMat-Bulk. Energies are from PBE.

Computed properties:
Its magnetization is 0.000 μB/cell. The value obtained for the raw formation energy is -0.13 kcal/mol of atoms.

Cell lengths 3.2286, 3.2286, 6.6355 Å; angles 90.00, 90.00, 120.00 degrees
Space group P3m1 (No. 156)
Asymmetric unit:
1 Mg 0.0000 0.0000 0.0000 [1 per cell]
2 Sb 0.3333 0.6667 0.5850 [1 per cell]
3 Ru 0.6667 0.3333 0.3041 [1 per cell]

=====

[4]
Here is a relaxed structure of MgSbRu from Alexandria via LeMat-Bulk. Energies are from PBE.

Computed properties:
Its magnetization is 0.000 μB/cell. The value obtained for the raw formation energy is -7.56 kcal/mol of atoms.

Cell lengths 4.387, 4.387, 6.220 Å; angles 90.00, 90.00, 90.00 degrees
Space group P4/nmm (No. 129, origin choice 2)
Asymmetric unit:
1 Mg 0.250 0.250 0.222 [2 per cell]
2 Sb 0.250 0.250 0.750 [2 per cell]
3 Ru 0.250 0.750 0.500 [2 per cell]

=====

[5]
Here is a relaxed structure of MgSbRu2 from Alexandria via LeMat-Bulk. Energies are from PBE.

Computed properties:
Its magnetization is 0.000 μB/cell. The value obtained for the raw formation energy is 11.82 kcal/mol of atoms. The value obtained for the energy above the lowest structure with this stoichiometry is 736 meV/atom.

Cell lengths 7.137, 7.137, 5.833 Å; angles 90.00, 90.00, 90.00 degrees
Space group I-42d (No. 122)
Asymmetric unit:
1 Mg 0.000 0.000 0.000 [4 per cell]
2 Sb 0.000 0.000 0.500 [4 per cell]
3 Ru 0.229 0.250 0.625 [8 per cell]

=====

[6]
Here is a relaxed structure of MgSbRu2 from Alexandria via LeMat-Bulk. Energies are from PBE.

Computed properties:
Its magnetization is 0.000 μB/cell. The value obtained for the raw formation energy is 2.92 kcal/mol of atoms. The value obtained for the energy above the lowest structure with this stoichiometry is 350 meV/atom.

Cell lengths 3.039, 4.028, 5.723 Å; angles 90.00, 103.09, 90.00 degrees
Space group P2/m (No. 10)
Asymmetric unit:
1 Mg 0.000 0.000 0.000 [1 per cell]
2 Sb 0.000 0.000 0.500 [1 per cell]
3 Ru 0.381 0.500 0.745 [2 per cell]

=====

[7]
Here is a relaxed structure of Mg2SbRu from Alexandria via LeMat-Bulk. Energies are from PBE.

Computed properties:
Its magnetization is 0.002 μB/cell. The value obtained for the raw formation energy is 2.82 kcal/mol of atoms.

Cell lengths 3.2149, 3.2149, 26.5690 Å; angles 90.00, 90.00, 120.00 degrees
Space group R-3m (No. 166, hexagonal axes)
Asymmetric unit:
1 Mg 0.0000 0.0000 0.2402 [6 per cell]
2 Sb 0.0000 0.0000 0.0000 [3 per cell]
3 Ru 0.0000 0.0000 0.5000 [3 per cell]

=====

[8]
Here is a relaxed structure of Mg2SbRu from Alexandria via LeMat-Bulk. Energies are from PBE.

Computed properties:
Its magnetization is 0.000 μB/cell. The value obtained for the raw formation energy is 0.36 kcal/mol of atoms.

Cell lengths 3.2429, 3.2429, 27.7950 Å; angles 90.00, 90.00, 120.00 degrees
Space group R3m (No. 160, hexagonal axes)
Asymmetric unit:
1 Mg 0.0000 0.0000 0.0000 [3 per cell]
2 Mg 0.0000 0.0000 0.2346 [3 per cell]
3 Sb 0.0000 0.0000 0.4717 [3 per cell]
4 Ru 0.0000 0.0000 0.7392 [3 per cell]

=====

[9]
Here is a relaxed structure of MgSbRu from Alexandria via LeMat-Bulk. Energies are from PBE.

Computed properties:
Its magnetization is 0.629 μB/cell. The value obtained for the raw formation energy is -3.47 kcal/mol of atoms.

Cell lengths 3.428, 3.487, 9.052 Å; angles 90.00, 90.00, 90.00 degrees
Space group Imm2 (No. 44)
Asymmetric unit:
1 Mg 0.000 0.000 0.000 [2 per cell]
2 Sb 0.000 0.000 0.312 [2 per cell]
3 Ru 0.000 0.000 0.673 [2 per cell]

=====

[10]
Here is a relaxed structure of MgSbRu2 from Alexandria via LeMat-Bulk. Energies are from PBE.

Computed properties:
Its magnetization is 0.000 μB/cell. The value obtained for the raw formation energy is -5.15 kcal/mol of atoms. The value obtained for the energy above the lowest structure with this stoichiometry is 0 meV/atom.

Cell lengths 6.303, 6.303, 6.303 Å; angles 90.00, 90.00, 90.00 degrees
Space group Fm-3m (No. 225)
Asymmetric unit:
1 Mg 0.000 0.000 0.000 [4 per cell]
2 Sb 0.000 0.000 0.500 [4 per cell]
3 Ru 0.250 0.250 0.250 [8 per cell]

=====

[11]
Here is a relaxed structure of MgSbRu from Alexandria via LeMat-Bulk. Energies are from PBE.

Computed properties:
Its magnetization is 0.000 μB/cell. The value obtained for the raw formation energy is -3.72 kcal/mol of atoms.

Cell lengths 9.855, 3.361, 7.932 Å; angles 90.00, 117.85, 90.00 degrees
Space group Cm (No. 8)
Asymmetric unit:
1 Mg 0.000 0.000 0.000 [2 per cell]
2 Mg 0.038 0.500 0.687 [2 per cell]
3 Sb 0.241 0.500 0.467 [2 per cell]
4 Sb 0.314 0.000 0.105 [2 per cell]
5 Ru 0.279 0.000 0.750 [2 per cell]
6 Ru 0.495 0.500 0.375 [2 per cell]

=====

[12]
Here is a relaxed structure of MgSbRu from Alexandria via LeMat-Bulk. Energies are from PBE.

Computed properties:
Its magnetization is 0.000 μB/cell. The value obtained for the raw formation energy is -1.07 kcal/mol of atoms.

Cell lengths 4.4664, 4.4664, 3.3378 Å; angles 90.00, 90.00, 120.00 degrees
Space group P-6m2 (No. 187)
Asymmetric unit:
1 Mg 0.0000 0.0000 0.0000 [1 per cell]
2 Sb 0.3333 0.6667 0.5000 [1 per cell]
3 Ru 0.6667 0.3333 0.5000 [1 per cell]